Arrangement one

Sb2RuBr after structural relaxation, computed with GGA-PBE.

Magnetic moment: 0.00 μB/f.u.

abc: 4.1879 4.1879 5.1258
angles: 90.00 90.00 90.00
Space group P4/mmm (No. 123)
Unique sites:
Sb: 0.0000 0.5000 0.0000 (multiplicity 2)
Ru: 0.0000 0.0000 0.5000 (multiplicity 1)
Br: 0.5000 0.5000 0.5000 (multiplicity 1)


Arrangement two

Sb2RuBr after structural relaxation, computed with GGA-PBE.

Magnetic moment: 0.00 μB/f.u.

abc: 3.5322 3.5322 7.7526
angles: 90.00 90.00 90.00
Space group P4mm (No. 99)
Unique sites:
Sb: 0.0000 0.0000 0.0000 (multiplicity 1)
Sb: 0.5000 0.5000 0.2445 (multiplicity 1)
Ru: 0.5000 0.5000 0.8711 (multiplicity 1)
Br: 0.0000 0.0000 0.6097 (multiplicity 1)


Arrangement three

Sb2RuBr after structural relaxation, computed with GGA-PBE.

Magnetic moment: 0.00 μB/f.u.

abc: 7.0391 7.0391 7.0391
angles: 90.00 90.00 90.00
Space group F-43m (No. 216)
Unique sites:
Sb: 0.0000 0.0000 0.0000 (multiplicity 4)
Sb: 0.2500 0.2500 0.2500 (multiplicity 4)
Ru: 0.0000 0.0000 0.5000 (multiplicity 4)
Br: 0.2500 0.2500 0.7500 (multiplicity 4)


Arrangement four

Sb2RuBr after structural relaxation, computed with GGA-PBE.

Magnetic moment: 0.00 μB/f.u.

abc: 6.4645 6.4645 12.8659
angles: 90.00 90.00 90.00
Space group I-42d (No. 122)
Unique sites:
Sb: 0.1512 0.2500 0.1250 (multiplicity 8)
Ru: 0.0000 0.0000 0.0000 (multiplicity 4)
Br: 0.0000 0.0000 0.5000 (multiplicity 4)


Least stable structure: arrangement one


Arrangement one

SbRuBr after structural relaxation, computed with GGA-PBE.

Magnetic moment: 0.00 μB/f.u.

abc: 4.0043 4.0043 5.7675
angles: 90.00 90.00 120.00
Space group P3m1 (No. 156)
Unique sites:
Sb: 0.0000 0.0000 0.0000 (multiplicity 1)
Ru: 0.3333 0.6667 0.8268 (multiplicity 1)
Br: 0.6667 0.3333 0.5477 (multiplicity 1)


Arrangement two

SbRuBr after structural relaxation, computed with GGA-PBE.

Magnetic moment: 0.00 μB/f.u.

abc: 3.1612 3.1612 14.2486
angles: 90.00 90.00 90.00
Space group I4mm (No. 107)
Unique sites:
Sb: 0.0000 0.0000 0.0000 (multiplicity 2)
Ru: 0.0000 0.0000 0.3842 (multiplicity 2)
Br: 0.0000 0.0000 0.7594 (multiplicity 2)


Least stable structure: arrangement two